1.
Li2HfAu2: relaxed, PBEsol.

Cell and atoms, written as POSCAR:
```
Li2HfAu2
1.0
2.795 0.000 0.000
0.000 7.430 0.000
0.000 0.000 7.430
Li Au Hf
4 4 2
Direct
0.000 0.390 0.890
0.000 0.890 0.610
0.000 0.610 0.110
0.000 0.110 0.390
0.500 0.311 0.189
0.500 0.689 0.811
0.500 0.811 0.311
0.500 0.189 0.689
0.000 0.000 0.000
0.000 0.500 0.500
```

---

2.
LiHf2PtAu: relaxed, PBEsol.

Cell and atoms, written as POSCAR:
```
LiHf2PtAu
1.0
-3.584 1.860 -1.070
-2.588 -3.709 2.221
0.039 2.569 4.335
Hf Pt Li Au
2 1 1 1
Direct
0.000 0.500 0.000
0.000 0.000 0.500
0.500 0.500 0.500
0.500 0.000 0.000
0.000 0.000 0.000
```

---

3.
HfMn3Au: relaxed, PBEsol.

Cell and atoms, written as POSCAR:
```
HfMn3Au
1.0
4.580 0.000 0.000
0.000 4.580 0.000
0.000 0.000 4.580
Au Mn Hf
1 3 1
Direct
0.500 0.500 0.500
0.000 0.500 0.000
0.000 0.000 0.500
0.500 0.000 0.000
0.000 0.000 0.000
```

---

4.
HfNiMoAu2: relaxed, PBEsol.

Cell and atoms, written as POSCAR:
```
HfNiMoAu2
1.0
4.420 0.000 0.000
0.000 4.999 0.000
0.000 0.000 4.999
Au Ni Hf Mo
2 1 1 1
Direct
0.000 0.500 0.000
0.000 0.000 0.500
0.500 0.000 0.000
0.000 0.000 0.000
0.500 0.500 0.500
```

---

5.
HfMoPdAu2: relaxed, PBEsol.

Cell and atoms, written as POSCAR:
```
HfMoPdAu2
1.0
-2.657 -3.139 -2.327
0.917 -3.405 3.546
-4.033 1.542 2.524
Mo Au Hf Pd
1 2 1 1
Direct
0.500 0.500 0.500
0.000 0.500 0.000
0.000 0.000 0.500
0.000 0.000 0.000
0.500 0.000 0.000
```

---

6.
HfSiMoAu2: relaxed, PBEsol.

Formation energy (no corrections): 747.3 kJ/mol of formula units

Cell and atoms, written as POSCAR:
```
HfSiMoAu2
1.0
-1.493 4.444 0.346
-1.905 -0.277 -4.662
-4.387 -1.621 1.889
Au Hf Mo Si
2 1 1 1
Direct
0.000 0.000 0.500
0.000 0.500 0.000
0.000 0.000 0.000
0.500 0.000 0.000
0.500 0.500 0.500
```

---

7.
Hf2ScAuN: relaxed, PBEsol.

Formation energy (no corrections): 701.0 kJ/mol of formula units

Cell and atoms, written as POSCAR:
```
Hf2ScAuN
1.0
-0.281 -0.345 -4.976
-3.754 -3.296 0.441
-3.314 3.764 -0.074
Au Sc Hf N
1 1 2 1
Direct
0.000 0.000 0.000
0.500 0.000 0.000
0.000 0.500 0.000
0.000 0.000 0.500
0.500 0.500 0.500
```

---

8.
HfAuSeN2: relaxed, PBEsol.

Formation energy (no corrections): 592.2 kJ/mol of formula units

Cell and atoms, written as POSCAR:
```
HfAuSeN2
1.0
4.006 0.000 0.000
0.000 4.006 0.000
0.000 0.000 4.838
N Hf Se Au
2 1 1 1
Direct
0.000 0.500 0.000
0.500 0.000 0.000
0.500 0.500 0.500
0.000 0.000 0.500
0.000 0.000 0.000
```

---

9.
HfAuSe2N: relaxed, PBEsol.

Formation energy (no corrections): 89.9 kJ/mol of formula units

Cell and atoms, written as POSCAR:
```
HfAuSe2N
1.0
3.990 0.000 0.000
0.000 5.170 0.000
0.000 0.000 5.170
Au Hf N Se
1 1 1 2
Direct
0.500 0.500 0.500
0.000 0.000 0.000
0.500 0.000 0.000
0.000 0.000 0.500
0.000 0.500 0.000
```

---

10.
HfTlAu2N: relaxed, PBEsol.

Formation energy (no corrections): 630.4 kJ/mol of formula units

Cell and atoms, written as POSCAR:
```
HfTlAu2N
1.0
3.929 0.000 0.000
0.000 5.204 0.000
0.000 0.000 5.204
N Hf Au Tl
1 1 2 1
Direct
0.500 0.000 0.000
0.500 0.500 0.500
0.000 0.500 0.000
0.000 0.000 0.500
0.000 0.000 0.000
```

---

11.
NaHfSnAu2: relaxed, PBEsol.

Cell and atoms, written as POSCAR:
```
NaHfSnAu2
1.0
-4.398 -2.519 -0.712
2.551 -4.437 -0.059
-0.613 -0.422 5.276
Hf Na Au Sn
1 1 2 1
Direct
0.000 0.000 0.500
0.500 0.500 0.500
0.500 0.000 0.000
0.000 0.500 0.000
0.000 0.000 0.000
```

---

12.
Hf2NiAu2: relaxed, PBEsol.

Cell and atoms, written as POSCAR:
```
Hf2NiAu2
1.0
4.675 0.000 0.000
0.000 4.675 0.000
-2.338 -2.338 4.865
Au Hf Ni
2 2 1
Direct
0.627 0.627 0.254
0.373 0.373 0.746
0.250 0.750 0.500
0.750 0.250 0.500
0.000 0.000 0.000
```

---

For each record above, in turn, the calculated uncorrected energy values are -48.66; -31.52; -35.93; -28.78; -29.19; -28.12; -32.80; -29.19; -29.72; -22.97; -20.54; -33.30 eV/cell.